The following is a DFT calculation (GGA-PBEsol) of a geometry-optimized CdAgO2 structure.

Cell lengths 3.326, 3.326, 18.770 Å; angles 90.00, 90.00, 120.00 degrees
Atoms (fractional coordinates):
Cd1 0.000 0.000 0.000
Cd2 0.333 0.667 0.667
Cd3 0.667 0.333 0.333
Ag1 0.000 0.000 0.500
Ag2 0.333 0.667 0.167
Ag3 0.667 0.333 0.833
O1 0.000 0.000 0.395
O2 0.000 0.000 0.605
O3 0.333 0.667 0.062
O4 0.333 0.667 0.272
O5 0.667 0.333 0.728
O6 0.667 0.333 0.938

Values from the calculation:
As for the space-group type: R-3m. The value obtained for the total DFT energy (no corrections) is -4.162 eV/atom. The raw formation energy comes out at -0.41 eV/atom. The calculation puts the density at 6.99 g/cm³.

***

The following is a DFT calculation (GGA-PBEsol) of a geometry-optimized CdAg2O4 structure.

Cell lengths 7.919, 7.165, 5.870 Å; angles 74.07, 60.46, 45.47 degrees
Atoms (fractional coordinates):
Cd1 0.125 0.125 0.125
Cd2 0.875 0.875 0.875
Ag1 0.255 0.255 0.495
Ag2 0.495 0.495 0.255
Ag3 0.505 0.505 0.745
Ag4 0.745 0.745 0.505
O1 0.082 0.422 0.254
O2 0.254 0.741 0.082
O3 0.259 0.746 0.578
O4 0.422 0.082 0.741
O5 0.578 0.918 0.259
O6 0.741 0.254 0.422
O7 0.746 0.259 0.918
O8 0.918 0.578 0.746

Values from the calculation:
As for the space-group type: Fddd. The value obtained for the total DFT energy (no corrections) is -4.339 eV/atom. The calculation puts the energy above the most stable polymorph in this dataset at 38 meV/atom. The raw formation energy comes out at -0.22 eV/atom. The calculation puts the density at 6.35 g/cm³.

***

The following is a DFT calculation (GGA-PBEsol) of a geometry-optimized CdAgO2 structure.

Cell lengths 6.773, 4.446, 3.408 Å; angles 90.00, 90.00, 90.00 degrees
Atoms (fractional coordinates):
Cd1 0.250 0.000 0.015
Cd2 0.750 0.000 0.985
Ag1 0.000 0.500 0.500
Ag2 0.500 0.500 0.500
O1 0.000 0.000 0.500
O2 0.250 0.500 0.860
O3 0.500 0.000 0.500
O4 0.750 0.500 0.140

Values from the calculation:
As for the space-group type: Pmma. The value obtained for the total DFT energy (no corrections) is -4.299 eV/atom. The raw formation energy comes out at -0.55 eV/atom. The calculation puts the density at 8.16 g/cm³.

***

The following is a DFT calculation (GGA-PBEsol) of a geometry-optimized CdAgO2 structure.

Cell lengths 6.683, 9.168, 3.372 Å; angles 90.00, 91.85, 90.00 degrees
Atoms (fractional coordinates):
Cd1 0.250 0.250 0.000
Cd2 0.250 0.750 0.000
Cd3 0.750 0.250 0.000
Cd4 0.750 0.750 0.000
Ag1 0.000 0.000 0.500
Ag2 0.000 0.500 0.500
Ag3 0.500 0.000 0.500
Ag4 0.500 0.500 0.500
O1 0.000 0.226 0.500
O2 0.000 0.774 0.500
O3 0.248 0.500 0.135
O4 0.252 0.000 0.865
O5 0.500 0.274 0.500
O6 0.500 0.726 0.500
O7 0.748 0.000 0.135
O8 0.752 0.500 0.865

Values from the calculation:
As for the space-group type: C2/m. The value obtained for the total DFT energy (no corrections) is -4.307 eV/atom. The raw formation energy comes out at -0.56 eV/atom. The calculation puts the density at 8.12 g/cm³.

***

The following is a DFT calculation (GGA-PBEsol) of a geometry-optimized CdAg2O4 structure.

Cell lengths 7.092, 7.092, 7.092 Å; angles 130.94, 130.94, 71.92 degrees
Atoms (fractional coordinates):
Cd1 0.375 0.625 0.750
Cd2 0.625 0.375 0.250
Ag1 0.000 0.000 0.000
Ag2 0.000 0.000 0.500
Ag3 0.000 0.500 0.000
Ag4 0.500 0.000 0.500
O1 0.223 0.243 0.980
O2 0.237 0.757 0.480
O3 0.243 0.223 0.480
O4 0.243 0.763 0.020
O5 0.757 0.237 0.980
O6 0.757 0.777 0.520
O7 0.763 0.243 0.520
O8 0.777 0.757 0.020

Values from the calculation:
As for the space-group type: I4_1/amd. The value obtained for the total DFT energy (no corrections) is -4.377 eV/atom. The calculation puts the energy above the most stable polymorph in this dataset at 0 meV/atom. The raw formation energy comes out at -0.26 eV/atom. The calculation puts the density at 6.54 g/cm³.

***

The following is a DFT calculation (GGA-PBEsol) of a geometry-optimized VCdAgO4 structure.

Cell lengths 9.858, 6.920, 5.416 Å; angles 90.00, 90.00, 90.00 degrees
Atoms (fractional coordinates):
V1 0.179 0.250 0.009
V2 0.321 0.750 0.509
V3 0.679 0.250 0.491
V4 0.821 0.750 0.991
Cd1 0.000 0.000 0.500
Cd2 0.000 0.500 0.500
Cd3 0.500 0.000 0.000
Cd4 0.500 0.500 0.000
Ag1 0.152 0.750 0.997
Ag2 0.348 0.250 0.497
Ag3 0.652 0.750 0.503
Ag4 0.848 0.250 0.003
O1 0.116 0.050 0.151
O2 0.116 0.450 0.151
O3 0.127 0.250 0.700
O4 0.144 0.750 0.562
O5 0.356 0.250 0.062
O6 0.373 0.750 0.200
O7 0.384 0.550 0.651
O8 0.384 0.950 0.651
O9 0.616 0.050 0.349
O10 0.616 0.450 0.349
O11 0.627 0.250 0.800
O12 0.644 0.750 0.938
O13 0.856 0.250 0.438
O14 0.873 0.750 0.300
O15 0.884 0.550 0.849
O16 0.884 0.950 0.849

Values from the calculation:
As for the space-group type: Pnma. The value obtained for the total DFT energy (no corrections) is -6.549 eV/atom. The raw formation energy comes out at -1.53 eV/atom. The calculation puts the density at 6.03 g/cm³.

***

The following is a DFT calculation (GGA-PBEsol) of a geometry-optimized CdAg2Os structure.

Cell lengths 4.057, 4.057, 7.967 Å; angles 90.00, 90.00, 90.00 degrees
Atoms (fractional coordinates):
Cd1 0.000 0.000 0.000
Cd2 0.500 0.500 0.500
Ag1 0.000 0.500 0.250
Ag2 0.000 0.500 0.750
Ag3 0.500 0.000 0.250
Ag4 0.500 0.000 0.750
Os1 0.000 0.000 0.500
Os2 0.500 0.500 0.000

Values from the calculation:
As for the space-group type: I4/mmm. The value obtained for the total DFT energy (no corrections) is -4.339 eV/atom. The calculation puts the formation energy from the elements at 2.68 eV per formula unit. The calculation puts the density at 13.13 g/cm³.

***

The following is a DFT calculation (GGA-PBEsol) of a geometry-optimized CdAg2Os structure.

Cell lengths 2.702, 4.220, 5.732 Å; angles 90.00, 90.00, 90.00 degrees
Atoms (fractional coordinates):
Cd1 0.000 0.000 0.000
Ag1 0.000 0.000 0.489
Ag2 0.500 0.500 0.737
Os1 0.500 0.500 0.244

Values from the calculation:
As for the space-group type: Pmm2. The value obtained for the total DFT energy (no corrections) is -4.513 eV/atom. The calculation puts the formation energy from the elements at 1.99 eV per formula unit. The calculation puts the density at 13.17 g/cm³.

***

The following is a DFT calculation (GGA-PBEsol) of a geometry-optimized CdAg2Os structure.

Cell lengths 2.806, 4.816, 4.856 Å; angles 90.00, 90.00, 90.00 degrees
Atoms (fractional coordinates):
Cd1 0.000 0.000 0.000
Ag1 0.000 0.500 0.500
Ag2 0.500 0.000 0.500
Os1 0.500 0.500 0.000

Values from the calculation:
As for the space-group type: Pmmm. The value obtained for the total DFT energy (no corrections) is -4.480 eV/atom. The calculation puts the formation energy from the elements at 2.11 eV per formula unit. The calculation puts the density at 13.12 g/cm³.

***

The following is a DFT calculation (GGA-PBEsol) of a geometry-optimized CdAgOs structure.

Cell lengths 6.150, 6.150, 6.150 Å; angles 90.00, 90.00, 90.00 degrees
Atoms (fractional coordinates):
Cd1 0.000 0.000 0.000
Cd2 0.000 0.500 0.500
Cd3 0.500 0.000 0.500
Cd4 0.500 0.500 0.000
Ag1 0.250 0.250 0.750
Ag2 0.250 0.750 0.250
Ag3 0.750 0.250 0.250
Ag4 0.750 0.750 0.750
Os1 0.000 0.000 0.500
Os2 0.000 0.500 0.000
Os3 0.500 0.000 0.000
Os4 0.500 0.500 0.500

Values from the calculation:
As for the space-group type: F-43m. The value obtained for the total DFT energy (no corrections) is -4.241 eV/atom. The calculation puts the formation energy from the elements at 4.00 eV per formula unit. The calculation puts the density at 11.72 g/cm³.

***

The following is a DFT calculation (GGA-PBEsol) of a geometry-optimized CdAgP2 structure.

Cell lengths 4.393, 3.583, 5.091 Å; angles 90.00, 105.68, 90.00 degrees
Atoms (fractional coordinates):
Cd1 0.000 0.000 0.000
Ag1 0.500 0.000 0.500
P1 0.203 0.500 0.676
P2 0.797 0.500 0.324

Values from the calculation:
As for the space-group type: P2/m. The value obtained for the total DFT energy (no corrections) is -3.885 eV/atom. The calculation puts the formation energy from the elements at 0.55 eV per formula unit. The calculation puts the density at 6.07 g/cm³.

***

The following is a DFT calculation (GGA-PBEsol) of a geometry-optimized Cd3AgP structure.

Cell lengths 4.991, 4.991, 4.991 Å; angles 90.00, 90.00, 90.00 degrees
Atoms (fractional coordinates):
Cd1 0.000 0.000 0.500
Cd2 0.000 0.500 0.000
Cd3 0.500 0.000 0.000
Ag1 0.500 0.500 0.500
P1 0.000 0.000 0.000

Values from the calculation:
As for the space-group type: Pm-3m. The value obtained for the total DFT energy (no corrections) is -2.017 eV/atom. The calculation puts the formation energy from the elements at 2.61 eV per formula unit. The calculation puts the density at 6.36 g/cm³.

***

The following is a DFT calculation (GGA-PBEsol) of a geometry-optimized CdAgP2 structure.

Cell lengths 3.661, 4.297, 4.385 Å; angles 90.00, 90.00, 90.00 degrees
Atoms (fractional coordinates):
Cd1 0.000 0.000 0.000
Ag1 0.500 0.500 0.000
P1 0.000 0.500 0.500
P2 0.500 0.000 0.500

Values from the calculation:
As for the space-group type: Pmmm. The value obtained for the total DFT energy (no corrections) is -3.576 eV/atom. The calculation puts the formation energy from the elements at 1.79 eV per formula unit. The calculation puts the density at 6.79 g/cm³.

***

The following is a DFT calculation (GGA-PBEsol) of a geometry-optimized CdAgP2 structure.

Cell lengths 5.263, 7.310, 3.623 Å; angles 90.00, 90.00, 90.00 degrees
Atoms (fractional coordinates):
Cd1 0.000 0.000 0.000
Cd2 0.500 0.500 0.000
Ag1 0.000 0.500 0.000
Ag2 0.500 0.000 0.000
P1 0.250 0.250 0.500
P2 0.250 0.750 0.500
P3 0.750 0.250 0.500
P4 0.750 0.750 0.500

Values from the calculation:
As for the space-group type: Cmmm. The value obtained for the total DFT energy (no corrections) is -3.636 eV/atom. The calculation puts the formation energy from the elements at 1.55 eV per formula unit. The calculation puts the density at 6.72 g/cm³.

***

The following is a DFT calculation (GGA-PBEsol) of a geometry-optimized TaCdAg2P structure.

Cell lengths 4.571, 4.571, 4.692 Å; angles 90.00, 90.00, 90.00 degrees
Atoms (fractional coordinates):
Ta1 0.000 0.000 0.000
Cd1 0.500 0.500 0.000
Ag1 0.000 0.500 0.500
Ag2 0.500 0.000 0.500
P1 0.000 0.000 0.500

Values from the calculation:
As for the space-group type: P4/mmm. The value obtained for the total DFT energy (no corrections) is -4.837 eV/atom. The calculation puts the formation energy from the elements at 1.98 eV per formula unit. The calculation puts the density at 9.15 g/cm³.

***

The following is a DFT calculation (GGA-PBEsol) of a geometry-optimized CdAg2Pb structure.

Cell lengths 3.487, 3.487, 6.803 Å; angles 90.00, 90.00, 90.00 degrees
Atoms (fractional coordinates):
Cd1 0.000 0.000 0.000
Ag1 0.000 0.000 0.576
Ag2 0.500 0.500 0.783
Pb1 0.500 0.500 0.311

Values from the calculation:
As for the space-group type: P4mm. The value obtained for the total DFT energy (no corrections) is -2.896 eV/atom. The calculation puts the formation energy from the elements at 0.24 eV per formula unit. The calculation puts the density at 10.75 g/cm³.

***

The following is a DFT calculation (GGA-PBEsol) of a geometry-optimized CdAg2Pb structure.

Cell lengths 3.268, 4.647, 5.686 Å; angles 90.00, 105.77, 90.00 degrees
Atoms (fractional coordinates):
Cd1 0.000 0.000 0.000
Ag1 0.283 0.000 0.555
Ag2 0.430 0.500 0.847
Pb1 0.698 0.500 0.369

Values from the calculation:
As for the space-group type: Pm. The value obtained for the total DFT energy (no corrections) is -2.894 eV/atom. The calculation puts the formation energy from the elements at 0.24 eV per formula unit. The calculation puts the density at 10.70 g/cm³.

***

The following is a DFT calculation (GGA-PBEsol) of a geometry-optimized CdAg2Pb structure.

Cell lengths 9.478, 3.113, 5.724 Å; angles 90.00, 101.13, 90.00 degrees
Atoms (fractional coordinates):
Cd1 0.000 0.000 0.000
Cd2 0.500 0.500 0.000
Ag1 0.244 0.500 0.218
Ag2 0.256 0.000 0.782
Ag3 0.744 0.000 0.218
Ag4 0.756 0.500 0.782
Pb1 0.000 0.500 0.500
Pb2 0.500 0.000 0.500

Values from the calculation:
As for the space-group type: C2/m. The value obtained for the total DFT energy (no corrections) is -2.861 eV/atom. The calculation puts the formation energy from the elements at 0.37 eV per formula unit. The calculation puts the density at 10.73 g/cm³.

***

The following is a DFT calculation (GGA-PBEsol) of a geometry-optimized CdAgPb2 structure.

Cell lengths 11.340, 3.252, 5.514 Å; angles 90.00, 108.72, 90.00 degrees
Atoms (fractional coordinates):
Cd1 0.000 0.000 0.000
Cd2 0.500 0.500 0.000
Ag1 0.205 0.500 0.288
Ag2 0.705 0.000 0.288
Pb1 0.237 0.000 0.798
Pb2 0.451 0.000 0.465
Pb3 0.737 0.500 0.798
Pb4 0.951 0.500 0.465

Values from the calculation:
As for the space-group type: Cm. The value obtained for the total DFT energy (no corrections) is -3.047 eV/atom. The calculation puts the formation energy from the elements at 0.32 eV per formula unit. The calculation puts the density at 10.94 g/cm³.

***

The following is a DFT calculation (GGA-PBEsol) of a geometry-optimized Cd3AgPb structure.

Cell lengths 5.120, 5.120, 5.120 Å; angles 90.00, 90.00, 90.00 degrees
Atoms (fractional coordinates):
Cd1 0.000 0.000 0.500
Cd2 0.000 0.500 0.000
Cd3 0.500 0.000 0.000
Ag1 0.000 0.000 0.000
Pb1 0.500 0.500 0.500

Values from the calculation:
As for the space-group type: Pm-3m. The value obtained for the total DFT energy (no corrections) is -1.870 eV/atom. The calculation puts the formation energy from the elements at 1.55 eV per formula unit. The calculation puts the density at 8.07 g/cm³.